# BaY2Te

A PBEsol-optimized structure of BaY2Te (SCAN, Alexandria via LeMat-Bulk).

Space-group type: P4mm (99)
Formation energy (no corrections): -65 kJ per mole of atoms
Density of states at the Fermi level: 4.236 states/eV per cell

POSCAR file:
```
BaY2Te
1.0
3.9836 0.0000 0.0000
0.0000 3.9836 0.0000
0.0000 0.0000 8.5472
Ba Y Te
1 2 1
Direct
0.0000 0.0000 0.0000
0.0000 0.0000 0.4380
0.5000 0.5000 0.6685
0.5000 0.5000 0.2820
```